(1)
{"formula": "CsRbIn2", "functional": "PBE-GGA", "state": "relaxed", "cell": [[5.046, -3.788, -0.998], [2.505, -3.325, 4.845], [-0.681, -6.348, 0.207]], "species": ["In", "In", "Cs", "Rb"], "frac_coords": [[0.750, 0.750, 0.750], [0.250, 0.250, 0.250], [0.500, 0.500, 0.500], [0.000, 0.000, 0.000]], "space_group": "No. 225", "de_polymorph_ev_per_atom": 0.235, "formation_enthalpy_0k_ev_per_atom": 0.17}

(2)
{"formula": "Cs3RbIn", "functional": "PBE-GGA", "state": "relaxed", "cell": [[-4.345, -1.581, 2.638], [6.427, -12.660, 2.999], [0.827, 10.322, 7.548]], "species": ["Rb", "Rb", "In", "In", "Cs", "Cs", "Cs", "Cs", "Cs", "Cs"], "frac_coords": [[0.695, 0.084, 0.572], [0.195, 0.338, 0.982], [0.695, 0.668, 0.717], [0.196, 0.754, 0.837], [0.196, 0.731, 0.501], [0.696, 0.396, 0.344], [0.195, 0.430, 0.673], [0.696, 0.691, 0.053], [0.696, 0.992, 0.881], [0.196, 0.026, 0.210]], "space_group": "No. 11", "de_polymorph_ev_per_atom": 0.000, "formation_enthalpy_0k_ev_per_atom": -0.03}

(3)
{"formula": "CsRbIn2Sb2", "functional": "PBE-GGA", "state": "relaxed", "cell": [[5.165, 0.000, 0.000], [-2.582, 4.473, 0.000], [0.000, 0.000, 11.379]], "species": ["Sb", "Sb", "Cs", "In", "In", "Rb"], "frac_coords": [[0.667, 0.333, 0.738], [0.333, 0.667, 0.262], [0.000, 0.000, 0.000], [0.333, 0.667, 0.750], [0.667, 0.333, 0.250], [0.000, 0.000, 0.500]], "space_group": "No. 164", "raw_formation_energy_ev_per_atom": -0.2225}

Number 1: uncorrected energy -6.611 eV per cell. Number 2: uncorrected energy -12.787 eV per cell. Number 3: uncorrected energy -16.877 eV per cell.